[1]
Below is a relaxed structure of Pm8Dy2Hg, with properties calculated at the PBE level.

Cell: 17.8375 5.5849 7.9224 Å, 90.00 112.16 90.00°
Closest atoms and distances in Å follow each position.
Space group C2/m (No. 12)
Inequivalent atoms, fractional coordinates:
Pm1 0.0107 0.0000 0.2582 [4 per cell]  2 Hg 3.43, 6 Pm 3.47-3.76, 1 Dy 3.56
Pm2 0.1128 0.5000 0.9256 [4 per cell]  1 Hg 3.21, 2 Dy 3.35, 2 Pm 3.51
Pm3 0.1605 0.5000 0.4142 [4 per cell]  1 Hg 3.18, 1 Pm 3.40, 1 Dy 3.42
Pm4 0.1799 0.0000 0.7202 [4 per cell]  8 Pm 3.40-3.76, 3 Dy 3.42-3.53
Dy1 0.1898 0.0000 0.1604 [4 per cell]  9 Pm 3.35-3.59
Hg1 0.0000 0.5000 0.5000 [2 per cell]  8 Pm 3.18-3.43

---

[2]
Below is a relaxed structure of Pm2Dy8Hg, with properties calculated at the PBE level.

Cell: 19.3541 5.5672 6.4243 Å, 90.00 95.22 90.00°
Closest atoms and distances in Å follow each position.
Space group C2/m (No. 12)
Inequivalent atoms, fractional coordinates:
Pm1 0.2431 0.0000 0.3308 [4 per cell]  9 Dy 3.44-3.84, 2 Pm 3.53
Dy1 0.0426 0.0000 0.2653 [4 per cell]  2 Hg 3.33, 4 Dy 3.56-3.65
Dy2 0.0774 0.5000 0.6037 [4 per cell]  1 Hg 3.07, 3 Dy 3.17-3.35
Dy3 0.1537 0.0000 0.8036 [4 per cell]  5 Dy 3.35-3.63, 4 Pm 3.58-3.66
Dy4 0.1579 0.5000 0.1230 [4 per cell]  1 Hg 3.09, 2 Pm 3.44, 2 Dy 3.45
Hg1 0.0000 0.5000 0.0000 [2 per cell]  8 Dy 3.07-3.33

---

no.,energy relative to the elements (kcal/mol of atoms)
1,0.314
2,-0.962